## i
A plane-wave DFT calculation with PBE was carried out for a relaxed structure of Be2InPt2.

Unit cell a=6.9801 b=6.9801 c=2.7912 alpha=90.00 beta=90.00 gamma=90.00
With the nearest neighbours (Å) after each atom.
Element x y z (fractional)
Pt1 0.8367 0.3367 0.5000  6 Be 2.45-2.54
In1 0.5000 0.5000 0.0000  4 Be 2.77, 2 In 2.79, 8 Pt 2.96
Pt2 0.3367 0.1633 0.5000  6 Be 2.45-2.54
In2 0.0000 0.0000 0.0000  4 Be 2.77, 2 In 2.79, 8 Pt 2.96
Be1 0.6219 0.1219 0.0000  1 Be 2.41, 6 Pt 2.45-2.54
Be2 0.1219 0.3781 0.0000  1 Be 2.41, 6 Pt 2.45-2.54
Be3 0.3781 0.8781 0.0000  1 Be 2.41, 6 Pt 2.45-2.54
Pt3 0.6633 0.8367 0.5000  6 Be 2.45-2.54
Be4 0.8781 0.6219 0.0000  1 Be 2.41, 6 Pt 2.45-2.54
Pt4 0.1633 0.6633 0.5000  6 Be 2.45-2.54

crystal system = tetragonal

## ii
A plane-wave DFT calculation with PBE was carried out for a relaxed structure of Be2InPt2.

Unit cell a=6.3855 b=6.3855 c=6.3855 alpha=147.99 beta=147.99 gamma=45.91
With the nearest neighbours (Å) after each atom.
Element x y z (fractional)
Pt1 0.6212 0.6212 0.0000  4 Be 2.32
Pt2 0.3788 0.3788 0.0000  4 Be 2.32
Be1 0.2500 0.7500 0.5000  4 Pt 2.32, 4 Be 2.49
Be2 0.7500 0.2500 0.5000  4 Pt 2.32, 4 Be 2.49
In1 0.0000 0.0000 0.0000  8 Pt 2.87

crystal system = tetragonal

i is favored, and the nearest alternative lies 0.006 eV/atom above it.

## i
A plane-wave DFT calculation with PBE was carried out for a relaxed structure of TbBeIn.

Unit cell a=4.5212 b=4.5212 c=4.5212 alpha=60.00 beta=60.00 gamma=60.00
With the nearest neighbours (Å) after each atom.
Element x y z (fractional)
Tb1 0.7500 0.7500 0.7500  4 Be 2.77
Be1 0.0000 0.0000 0.0000  4 Tb 2.77, 4 In 2.77
In1 0.2500 0.2500 0.2500  4 Be 2.77

crystal system = cubic

## ii
A plane-wave DFT calculation with PBE was carried out for a relaxed structure of TbBeIn.

Unit cell a=4.6904 b=4.6904 c=4.6904 alpha=60.00 beta=60.00 gamma=60.00
With the nearest neighbours (Å) after each atom.
Element x y z (fractional)
Tb1 0.7500 0.7500 0.7500  4 In 2.87
Be1 0.2500 0.2500 0.2500  4 In 2.87
In1 0.0000 0.0000 0.0000  4 Be 2.87, 4 Tb 2.87

crystal system = cubic

i is favored, and the nearest alternative lies 0.404 eV/atom above it.

## i
A plane-wave DFT calculation with PBE was carried out for a relaxed structure of ThBeIn.

Unit cell a=4.9720 b=4.9720 c=4.9720 alpha=60.00 beta=60.00 gamma=60.00
With the nearest neighbours (Å) after each atom.
Element x y z (fractional)
Be1 0.5000 0.5000 0.5000  4 Th 3.04
In1 0.0000 0.0000 0.0000  4 Th 3.04
Th1 0.2500 0.2500 0.2500  4 In 3.04, 4 Be 3.04

crystal system = cubic

## ii
A plane-wave DFT calculation with PBE was carried out for a relaxed structure of ThBeIn.

Unit cell a=4.7005 b=4.7005 c=4.7005 alpha=60.00 beta=60.00 gamma=60.00
With the nearest neighbours (Å) after each atom.
Element x y z (fractional)
Be1 0.0000 0.0000 0.0000  4 Th 2.88, 4 In 2.88
In1 0.2500 0.2500 0.2500  4 Be 2.88
Th1 0.7500 0.7500 0.7500  4 Be 2.88

crystal system = cubic

ii is favored, and the nearest alternative lies 0.760 eV/atom above it.

## i
A plane-wave DFT calculation with PBE was carried out for a relaxed structure of UBeIn.

Unit cell a=4.7547 b=4.7547 c=4.7547 alpha=60.00 beta=60.00 gamma=60.00
With the nearest neighbours (Å) after each atom.
Element x y z (fractional)
Be1 0.5000 0.5000 0.5000  4 In 2.91
U1 0.0000 0.0000 0.0000  4 In 2.91
In1 0.2500 0.2500 0.2500  4 Be 2.91, 4 U 2.91

crystal system = cubic

## ii
A plane-wave DFT calculation with PBE was carried out for a relaxed structure of UBeIn.

Unit cell a=4.5093 b=4.5093 c=4.5093 alpha=60.00 beta=60.00 gamma=60.00
With the nearest neighbours (Å) after each atom.
Element x y z (fractional)
In1 0.2500 0.2500 0.2500  4 Be 2.76
U1 0.7500 0.7500 0.7500  4 Be 2.76
Be1 0.0000 0.0000 0.0000  4 U 2.76, 4 In 2.76

crystal system = cubic

ii is favored, and the nearest alternative lies 0.547 eV/atom above it.

## i
A plane-wave DFT calculation with PBE was carried out for a relaxed structure of BeInW.

Unit cell a=4.3634 b=4.3634 c=4.3634 alpha=60.00 beta=60.00 gamma=60.00
With the nearest neighbours (Å) after each atom.
Element x y z (fractional)
W1 0.7500 0.7500 0.7500  4 In 2.67
In1 0.0000 0.0000 0.0000  4 W 2.67, 4 Be 2.67
Be1 0.2500 0.2500 0.2500  4 In 2.67

crystal system = cubic

## ii
A plane-wave DFT calculation with PBE was carried out for a relaxed structure of BeInW.

Unit cell a=4.3727 b=4.3727 c=4.3727 alpha=60.00 beta=60.00 gamma=60.00
With the nearest neighbours (Å) after each atom.
Element x y z (fractional)
Be1 0.2500 0.2500 0.2500  4 W 2.68
In1 0.7500 0.7500 0.7500  4 W 2.68
W1 0.0000 0.0000 0.0000  4 In 2.68, 4 Be 2.68

crystal system = cubic

ii is favored, and the nearest alternative lies 0.149 eV/atom above it.

## i
A plane-wave DFT calculation with PBE was carried out for a relaxed structure of Be2Ir.

Unit cell a=4.3733 b=4.3733 c=4.3733 alpha=60.00 beta=60.00 gamma=60.00
With the nearest neighbours (Å) after each atom.
Element x y z (fractional)
Ir1 0.0000 0.0000 0.0000  12 Be 2.56, 4 Ir 2.68
Be1 0.6250 0.6250 0.6250  6 Be 2.19
Ir2 0.2500 0.2500 0.2500  12 Be 2.56, 4 Ir 2.68
Be2 0.6250 0.1250 0.6250  6 Be 2.19
Be3 0.1250 0.6250 0.6250  6 Be 2.19
Be4 0.6250 0.6250 0.1250  6 Be 2.19

crystal system = cubic

## ii
A plane-wave DFT calculation with PBE was carried out for a relaxed structure of Be2Ir.

Unit cell a=6.8733 b=6.8733 c=6.8733 alpha=60.00 beta=60.00 gamma=60.00
With the nearest neighbours (Å) after each atom.
Element x y z (fractional)
Be1 0.3750 0.8750 0.8750  2 Ir 2.10
Be2 0.8750 0.8750 0.3750  2 Ir 2.10
Ir1 0.0000 0.0000 0.0000  4 Be 2.10
Be3 0.8750 0.8750 0.8750  2 Ir 2.10
Ir2 0.7500 0.7500 0.7500  4 Be 2.10
Be4 0.8750 0.3750 0.8750  2 Ir 2.10

crystal system = cubic

## iii
A plane-wave DFT calculation with PBE was carried out for a relaxed structure of Be2Ir.

Unit cell a=6.0611 b=6.0611 c=3.6584 alpha=90.00 beta=90.00 gamma=152.85
With the nearest neighbours (Å) after each atom.
Element x y z (fractional)
Be1 0.2645 0.7355 0.2500  6 Be 2.34-2.46, 4 Ir 2.38-2.41
Be2 0.0649 0.9351 0.7500  6 Ir 2.36-2.43, 4 Be 2.38-2.46
Be3 0.7355 0.2645 0.7500  6 Be 2.34-2.46, 4 Ir 2.38-2.41
Ir1 0.3976 0.6024 0.7500  10 Be 2.36-2.43
Ir2 0.6024 0.3976 0.2500  10 Be 2.36-2.43
Be4 0.9351 0.0649 0.2500  6 Ir 2.36-2.43, 4 Be 2.38-2.46

crystal system = orthorhombic

iii is favored, and the nearest alternative lies 0.161 eV/atom above it.

## i
A plane-wave DFT calculation with PBE was carried out for a relaxed structure of KBeIr.

Unit cell a=4.6058 b=4.6058 c=4.6058 alpha=60.00 beta=60.00 gamma=60.00
With the nearest neighbours (Å) after each atom.
Element x y z (fractional)
Be1 0.2500 0.2500 0.2500  4 K 2.82
Ir1 0.7500 0.7500 0.7500  4 K 2.82
K1 0.0000 0.0000 0.0000  4 Ir 2.82, 4 Be 2.82

crystal system = cubic

## ii
A plane-wave DFT calculation with PBE was carried out for a relaxed structure of KBeIr.

Unit cell a=4.3568 b=4.3568 c=4.3568 alpha=60.00 beta=60.00 gamma=60.00
With the nearest neighbours (Å) after each atom.
Element x y z (fractional)
Ir1 0.2500 0.2500 0.2500  4 Be 2.67
Be1 0.0000 0.0000 0.0000  4 K 2.67, 4 Ir 2.67
K1 0.7500 0.7500 0.7500  4 Be 2.67

crystal system = cubic

ii is favored, and the nearest alternative lies 1.099 eV/atom above it.

## i
A plane-wave DFT calculation with PBE was carried out for a relaxed structure of LiBeMoIr.

Unit cell a=4.0708 b=4.0708 c=4.0708 alpha=60.00 beta=60.00 gamma=60.00
With the nearest neighbours (Å) after each atom.
Element x y z (fractional)
Li1 0.2500 0.2500 0.2500  4 Ir 2.49, 4 Mo 2.49
Mo1 0.0000 0.0000 0.0000  4 Li 2.49, 4 Be 2.49
Be1 0.7500 0.7500 0.7500  4 Ir 2.49, 4 Mo 2.49
Ir1 0.5000 0.5000 0.5000  4 Li 2.49, 4 Be 2.49

crystal system = cubic

## ii
A plane-wave DFT calculation with PBE was carried out for a relaxed structure of LiBeMoIr.

Unit cell a=4.1539 b=4.1539 c=4.1539 alpha=60.00 beta=60.00 gamma=60.00
With the nearest neighbours (Å) after each atom.
Element x y z (fractional)
Be1 0.7500 0.7500 0.7500  4 Li 2.54, 4 Ir 2.54
Mo1 0.2500 0.2500 0.2500  4 Ir 2.54, 4 Li 2.54
Li1 0.5000 0.5000 0.5000  4 Mo 2.54, 4 Be 2.54
Ir1 0.0000 0.0000 0.0000  4 Mo 2.54, 4 Be 2.54

crystal system = cubic

ii is favored, and the nearest alternative lies 0.371 eV/atom above it.

## i
A plane-wave DFT calculation with PBE was carried out for a relaxed structure of LuBeIrPb.

Unit cell a=4.6678 b=4.6678 c=4.6678 alpha=60.00 beta=60.00 gamma=60.00
With the nearest neighbours (Å) after each atom.
Element x y z (fractional)
Lu1 0.0000 0.0000 0.0000  4 Be 2.86, 4 Pb 2.86
Pb1 0.2500 0.2500 0.2500  4 Ir 2.86, 4 Lu 2.86
Ir1 0.5000 0.5000 0.5000  4 Be 2.86, 4 Pb 2.86
Be1 0.7500 0.7500 0.7500  4 Ir 2.86, 4 Lu 2.86

crystal system = cubic

## ii
A plane-wave DFT calculation with PBE was carried out for a relaxed structure of LuBeIrPb.

Unit cell a=4.7055 b=4.7055 c=4.7055 alpha=60.00 beta=60.00 gamma=60.00
With the nearest neighbours (Å) after each atom.
Element x y z (fractional)
Pb1 0.5000 0.5000 0.5000  4 Be 2.88, 4 Ir 2.88
Lu1 0.0000 0.0000 0.0000  4 Ir 2.88, 4 Be 2.88
Ir1 0.2500 0.2500 0.2500  4 Lu 2.88, 4 Pb 2.88
Be1 0.7500 0.7500 0.7500  4 Pb 2.88, 4 Lu 2.88

crystal system = cubic

ii is favored, and the nearest alternative lies 0.030 eV/atom above it.

## i
A plane-wave DFT calculation with PBE was carried out for a relaxed structure of LuBeSiIr.

Unit cell a=4.4481 b=4.4481 c=4.4481 alpha=60.00 beta=60.00 gamma=60.00
With the nearest neighbours (Å) after each atom.
Element x y z (fractional)
Si1 0.0000 0.0000 0.0000  4 Lu 2.72, 4 Be 2.72
Be1 0.7500 0.7500 0.7500  4 Ir 2.72, 4 Si 2.72
Ir1 0.5000 0.5000 0.5000  4 Lu 2.72, 4 Be 2.72
Lu1 0.2500 0.2500 0.2500  4 Si 2.72, 4 Ir 2.72

crystal system = cubic

## ii
A plane-wave DFT calculation with PBE was carried out for a relaxed structure of LuBeSiIr.

Unit cell a=4.3560 b=4.3560 c=4.3560 alpha=60.00 beta=60.00 gamma=60.00
With the nearest neighbours (Å) after each atom.
Element x y z (fractional)
Be1 0.7500 0.7500 0.7500  4 Lu 2.67, 4 Ir 2.67
Lu1 0.5000 0.5000 0.5000  4 Be 2.67, 4 Si 2.67
Ir1 0.0000 0.0000 0.0000  4 Be 2.67, 4 Si 2.67
Si1 0.2500 0.2500 0.2500  4 Lu 2.67, 4 Ir 2.67

crystal system = cubic

## iii
A plane-wave DFT calculation with PBE was carried out for a relaxed structure of LuBeSiIr.

Unit cell a=4.3925 b=4.3925 c=4.3925 alpha=60.00 beta=60.00 gamma=60.00
With the nearest neighbours (Å) after each atom.
Element x y z (fractional)
Lu1 0.5000 0.5000 0.5000  4 Be 2.69, 4 Ir 2.69
Be1 0.7500 0.7500 0.7500  4 Lu 2.69, 4 Si 2.69
Ir1 0.2500 0.2500 0.2500  4 Si 2.69, 4 Lu 2.69
Si1 0.0000 0.0000 0.0000  4 Ir 2.69, 4 Be 2.69

crystal system = cubic

ii is favored, and the nearest alternative lies 0.144 eV/atom above it.

## i
A plane-wave DFT calculation with PBE was carried out for a relaxed structure of MgBe2Ir2.

Unit cell a=6.4085 b=6.4085 c=2.9186 alpha=90.00 beta=90.00 gamma=90.00
With the nearest neighbours (Å) after each atom.
Element x y z (fractional)
Ir1 0.1635 0.6635 0.5000  6 Be 2.37-2.41
Mg1 0.5000 0.5000 0.0000  4 Be 2.53, 8 Ir 2.81
Ir2 0.6635 0.8365 0.5000  6 Be 2.37-2.41
Ir3 0.8365 0.3365 0.5000  6 Be 2.37-2.41
Be1 0.6248 0.1248 0.0000  1 Be 2.26, 6 Ir 2.37-2.41, 2 Mg 2.53
Mg2 0.0000 0.0000 0.0000  4 Be 2.53, 8 Ir 2.81
Be2 0.1248 0.3752 0.0000  1 Be 2.26, 6 Ir 2.37-2.41, 2 Mg 2.53
Be3 0.3752 0.8752 0.0000  1 Be 2.26, 6 Ir 2.37-2.41, 2 Mg 2.53
Be4 0.8752 0.6248 0.0000  1 Be 2.26, 6 Ir 2.37-2.41, 2 Mg 2.53
Ir4 0.3365 0.1635 0.5000  6 Be 2.37-2.41

crystal system = tetragonal

## ii
A plane-wave DFT calculation with PBE was carried out for a relaxed structure of MgBe2Ir2.

Unit cell a=3.7551 b=3.7551 c=5.6562 alpha=109.39 beta=109.39 gamma=90.00
With the nearest neighbours (Å) after each atom.
Element x y z (fractional)
Be1 0.2500 0.7500 0.5000  4 Ir 2.26
Ir1 0.3753 0.3753 0.7505  4 Be 2.26, 1 Ir 2.49
Be2 0.7500 0.2500 0.5000  4 Ir 2.26
Mg1 0.0000 0.0000 0.0000  8 Ir 2.93, 8 Be 3.12
Ir2 0.6247 0.6247 0.2495  4 Be 2.26, 1 Ir 2.49

crystal system = tetragonal

i is favored, and the nearest alternative lies 0.379 eV/atom above it.

## i
A plane-wave DFT calculation with PBE was carried out for a relaxed structure of NaBeMoIr.

Unit cell a=4.3306 b=4.3306 c=4.3306 alpha=60.00 beta=60.00 gamma=60.00
With the nearest neighbours (Å) after each atom.
Element x y z (fractional)
Ir1 0.2500 0.2500 0.2500  4 Na 2.65, 4 Mo 2.65
Be1 0.7500 0.7500 0.7500  4 Na 2.65, 4 Mo 2.65
Na1 0.5000 0.5000 0.5000  4 Ir 2.65, 4 Be 2.65
Mo1 0.0000 0.0000 0.0000  4 Ir 2.65, 4 Be 2.65

crystal system = cubic

## ii
A plane-wave DFT calculation with PBE was carried out for a relaxed structure of NaBeMoIr.

Unit cell a=4.2892 b=4.2892 c=4.2892 alpha=60.00 beta=60.00 gamma=60.00
With the nearest neighbours (Å) after each atom.
Element x y z (fractional)
Ir1 0.0000 0.0000 0.0000  4 Mo 2.63, 4 Be 2.63
Mo1 0.2500 0.2500 0.2500  4 Ir 2.63, 4 Na 2.63
Na1 0.5000 0.5000 0.5000  4 Mo 2.63, 4 Be 2.63
Be1 0.7500 0.7500 0.7500  4 Na 2.63, 4 Ir 2.63

crystal system = cubic

ii is favored, and the nearest alternative lies 0.162 eV/atom above it.

## i
A plane-wave DFT calculation with PBE was carried out for a relaxed structure of NaBeIr.

Unit cell a=4.0070 b=4.0070 c=4.0070 alpha=60.00 beta=60.00 gamma=60.00
With the nearest neighbours (Å) after each atom.
Element x y z (fractional)
Be1 0.0000 0.0000 0.0000  4 Na 2.45, 4 Ir 2.45
Ir1 0.2500 0.2500 0.2500  4 Be 2.45
Na1 0.7500 0.7500 0.7500  4 Be 2.45

crystal system = cubic

## ii
A plane-wave DFT calculation with PBE was carried out for a relaxed structure of NaBeIr.

Unit cell a=4.1369 b=4.1369 c=4.1369 alpha=60.00 beta=60.00 gamma=60.00
With the nearest neighbours (Å) after each atom.
Element x y z (fractional)
Na1 0.0000 0.0000 0.0000  4 Ir 2.53, 4 Be 2.53
Ir1 0.7500 0.7500 0.7500  4 Na 2.53
Be1 0.2500 0.2500 0.2500  4 Na 2.53

crystal system = cubic

i is favored, and the nearest alternative lies 0.957 eV/atom above it.